! La4As3Se | Alexandria | GGA-PBE | optimized geometry; values from VASP
! calculated volume	29.30	Å³ per atom
! space-group type	I4/mmm
! raw formation energy	-13.80	eV/f.u.
! density	6.09	Mg/m³
&SYSTEM
  ibrav = 0, nat = 8, ntyp = 3
/
ATOMIC_SPECIES
La 138.91 La.upf
Se 78.96 Se.upf
As 74.92 As.upf
ATOMIC_POSITIONS crystal
La 0.0000 0.5000 0.0000
La 0.2534 0.2534 0.5068
La 0.5000 0.0000 0.0000
La 0.7466 0.7466 0.4932
Se 0.0000 0.0000 0.0000
As 0.7500 0.2500 0.5000
As 0.2500 0.7500 0.5000
As 0.5000 0.5000 0.0000
CELL_PARAMETERS angstrom
-5.8914 1.8140 0.0696
-1.1395 -3.5118 -4.9369
2.1018 -3.8841 6.1268

***

! Sr3Pd2Pb4 | Alexandria | GGA-PBE | optimized geometry; values from VASP
! calculated volume	29.99	Å³ per atom
! space-group type	C2/m
! density	8.03	Mg/m³
! total DFT energy (no corrections)	-3.8941	eV per atom
&SYSTEM
  ibrav = 0, nat = 9, ntyp = 3
/
ATOMIC_SPECIES
Pb 207.20 Pb.upf
Pd 106.42 Pd.upf
Sr 87.62 Sr.upf
ATOMIC_POSITIONS crystal
Pb 0.8954 0.7907 0.5892
Pb 0.1046 0.2093 0.4108
Pb 0.2861 0.5723 0.9207
Pb 0.7139 0.4277 0.0793
Pd 0.6737 0.3474 0.3527
Pd 0.3263 0.6526 0.6473
Sr 0.6230 0.2461 0.6890
Sr 0.3770 0.7539 0.3110
Sr 0.0000 0.0000 0.0000
CELL_PARAMETERS angstrom
-4.1825 0.3189 -2.8807
1.6112 -5.9292 1.4986
-4.9459 3.1101 7.5251

***

! K3LiY | Alexandria | GGA-PBE | optimized geometry; values from VASP
! calculated volume	78.89	Å³ per atom
! space-group type	Pm-3m
! density	0.90	Mg/m³
! E above lowest polymorph	0.2434	eV/atom
&SYSTEM
  ibrav = 0, nat = 5, ntyp = 3
/
ATOMIC_SPECIES
K 39.10 K.upf
Li 6.94 Li.upf
Y 88.91 Y.upf
ATOMIC_POSITIONS crystal
K 0.0000 0.0000 0.5000
K 0.0000 0.5000 0.0000
K 0.5000 0.0000 0.0000
Li 0.5000 0.5000 0.5000
Y 0.0000 0.0000 0.0000
CELL_PARAMETERS angstrom
-5.9686 -0.3842 4.2441
4.2605 -0.6926 5.9290
0.0902 7.2909 0.7869